Computed, not measured: a relaxed KRb2I6O crystal at the PBE level of DFT.

abc: 8.011 8.011 9.387
angles: 64.74 64.74 90.00
Fractional positions:
I1 0.227 0.227 0.547
I2 0.773 0.773 0.453
I3 0.293 0.293 0.000
I4 0.707 0.707 0.000
I5 0.707 0.293 0.000
I6 0.293 0.707 0.000
K1 0.000 0.000 0.000
O1 0.500 0.500 0.000
Rb1 0.750 0.250 0.500
Rb2 0.250 0.750 0.500

Properties
- Final energy: -23.138 eV per cell
- Uncorrected formation energy: -0.585 eV/atom